# 1
DFT (GGA-PBE) results for an optimized crystal structure of ThSb2Ru.

a b c (Å): 3.3031 3.3031 10.7618
angles (deg): 81.17 81.17 60.00
With the nearest neighbours (Å) after each atom.
Atoms (fractional coordinates):
Sb  0.9201  0.9201  0.2396  1 Ru 2.54
Sb  0.0799  0.0799  0.7604  1 Ru 2.54
Ru  0.0000  0.0000  0.0000  2 Sb 2.54
Th  0.5000  0.5000  0.5000  6 Th 3.30, 6 Sb 3.35

## Properties
* calculated volume: 25.02 Å³ per atom
* DOS(E_F): 3.44 states/eV per cell
* E_form (uncorrected): 331 meV per atom
* space group: R-3m
* energy: -5.904 eV per atom

=====

# 2
DFT (GGA-PBE) results for an optimized crystal structure of KBa2CaRh.

a b c (Å): 6.2525 6.2525 5.8077
angles (deg): 90.00 90.00 90.00
With the nearest neighbours (Å) after each atom.
Atoms (fractional coordinates):
Ca  0.0000  0.0000  0.5000  2 Rh 2.90
Ba  0.0000  0.5000  0.0000  2 Rh 3.13
Rh  0.0000  0.0000  0.0000  2 Ca 2.90, 4 Ba 3.13
Ba  0.5000  0.0000  0.0000  2 Rh 3.13
K  0.5000  0.5000  0.5000  8 Ba 4.27, 4 Ca 4.42

## Properties
* calculated volume: 45.41 Å³ per atom
* DOS(E_F): 3.97 states/eV per cell
* space group: P4/mmm
* energy: -2.970 eV per atom
* ΔH_f (0 K): -110.8 meV/atom

=====

# 3
DFT (GGA-PBE) results for an optimized crystal structure of ZrCu2Sb2.

a b c (Å): 3.6736 3.6736 7.7721
angles (deg): 76.33 76.33 90.00
With the nearest neighbours (Å) after each atom.
Atoms (fractional coordinates):
Cu  0.2500  0.7500  0.5000  4 Cu 2.60, 4 Sb 2.72
Sb  0.3873  0.3873  0.2255  4 Cu 2.72
Cu  0.7500  0.2500  0.5000  4 Cu 2.60, 4 Sb 2.72
Sb  0.6127  0.6127  0.7745  4 Cu 2.72
Zr  0.0000  0.0000  0.0000  8 Sb 3.08

## Properties
* calculated volume: 19.77 Å³ per atom
* DOS(E_F): 1.90 states/eV per cell
* E_form (uncorrected): -119 meV per atom
* space group: I4/mmm
* energy: -5.116 eV per atom

=====

> Among the records above, which one has the lowest calculated volume?

ZrCu2Sb2

=====

> The lowest calculated volume belongs to which entry?

ZrCu2Sb2

=====

> What is the DOS(E_F) in the first record?

3.44 states/eV per cell